Entry from Alexandria via LeMat-Bulk: a relaxed Sb2WIF crystal (GGA+U).

a = 4.691 Å, b = 4.691 Å, c = 6.047 Å
α = 90.00°, β = 90.00°, γ = 90.00°
Space group P4/mmm (No. 123)
Inequivalent atoms, fractional coordinates:
1 Sb 0.000 0.500 0.000 [2 per cell]
2 W 0.000 0.000 0.500 [1 per cell]
3 I 0.500 0.500 0.500 [1 per cell]
4 F 0.500 0.500 0.000 [1 per cell]

Values from the calculation:
VASP energy	-3.350	eV/atom
density of states at the Fermi level	1.8	states/eV/cell
magnetic moment	3.0	μB per formula unit
crystal system	tetragonal